Entry 1:
Compound: AlPd5Au
Source: Alexandria
Functional: PBE
Structure: relaxed

Uncorrected energy (eV per atom): -4.938
SG: No. 15

Cell: 5.1253 5.1253 10.2956 Å, 87.60 87.60 57.72°
Atoms (fractional coordinates):
1 Al 0.2675 0.7325 0.2500
2 Al 0.7325 0.2675 0.7500
3 Pd 0.7652 0.7442 0.1808
4 Pd 0.3558 0.3457 0.5590
5 Pd 0.7442 0.7652 0.6808
6 Pd 0.7674 0.2326 0.2500
7 Pd 0.6543 0.6442 0.9410
8 Pd 0.3457 0.3558 0.0590
9 Pd 0.2326 0.7674 0.7500
10 Pd 0.2558 0.2348 0.3192
11 Pd 0.6442 0.6543 0.4410
12 Pd 0.2348 0.2558 0.8192
13 Au 0.0000 0.0000 0.0000
14 Au 0.0000 0.0000 0.5000

Entry 2:
Compound: Al2PdAu6
Source: Alexandria
Functional: PBE
Structure: relaxed

Uncorrected energy (eV per atom): -3.877
SG: No. 12

Cell: 4.3725 5.7209 8.4971 Å, 125.15 90.00 112.47°
Atoms (fractional coordinates):
1 Al 0.6295 0.2591 0.7796
2 Al 0.3705 0.7409 0.2204
3 Pd 0.0000 0.0000 0.5000
4 Au 0.0379 0.0758 0.8619
5 Au 0.6749 0.3498 0.1446
6 Au 0.3251 0.6502 0.8554
7 Au 0.3147 0.6294 0.4746
8 Au 0.6853 0.3706 0.5254
9 Au 0.9621 0.9242 0.1381

Entry 3:
Compound: Al6PdAu2
Source: Alexandria
Functional: PBE
Structure: relaxed

Uncorrected energy (eV per atom): -4.290
SG: No. 12

Cell: 4.2594 6.0477 7.3756 Å, 114.20 107.12 90.00°
Atoms (fractional coordinates):
1 Al 0.8368 0.0824 0.6737
2 Al 0.1632 0.4087 0.3263
3 Al 0.1632 0.9176 0.3263
4 Al 0.5000 0.2397 0.0000
5 Al 0.8368 0.5913 0.6737
6 Al 0.5000 0.7603 0.0000
7 Pd 0.0000 0.0000 0.0000
8 Au 0.3335 0.3335 0.6671
9 Au 0.6665 0.6665 0.3329

Entry 4:
Compound: Al4Pd9Au2
Source: Alexandria
Functional: PBE
Structure: relaxed

Uncorrected energy (eV per atom): -5.096
SG: No. 164

Cell: 4.3398 4.3398 14.3487 Å, 90.00 90.00 120.00°
Atoms (fractional coordinates):
1 Al 0.3333 0.6667 0.3861
2 Al 0.6667 0.3333 0.6139
3 Al 0.6667 0.3333 0.8532
4 Al 0.3333 0.6667 0.1468
5 Pd 0.0000 0.0000 0.3129
6 Pd 0.0000 0.0000 0.6871
7 Pd 0.0000 0.0000 0.8896
8 Pd 0.0000 0.0000 0.1104
9 Pd 0.3333 0.6667 0.5754
10 Pd 0.6667 0.3333 0.4246
11 Pd 0.6667 0.3333 0.0297
12 Pd 0.3333 0.6667 0.9703
13 Pd 0.0000 0.0000 0.5000
14 Au 0.3333 0.6667 0.7761
15 Au 0.6667 0.3333 0.2239

Entry 5:
Compound: Al2PdAu8
Source: Alexandria
Functional: PBE
Structure: relaxed

Uncorrected energy (eV per atom): -3.694
SG: No. 12

Cell: 4.6148 7.2939 7.2939 Å, 60.80 79.73 79.73°
Atoms (fractional coordinates):
1 Al 0.5428 0.8777 0.8777
2 Al 0.4572 0.1223 0.1223
3 Pd 0.0000 0.0000 0.0000
4 Au 0.2220 0.3798 0.7707
5 Au 0.7780 0.2293 0.6202
6 Au 0.1072 0.7788 0.7788
7 Au 0.8928 0.2212 0.2212
8 Au 0.2220 0.7707 0.3798
9 Au 0.7780 0.6202 0.2293
10 Au 0.6774 0.6517 0.6517
11 Au 0.3226 0.3483 0.3483

Entry 6:
Compound: Al2Pd6Au
Source: Alexandria
Functional: PBE
Structure: relaxed

Uncorrected energy (eV per atom): -5.182
SG: No. 12

Cell: 3.9142 4.7625 8.6718 Å, 70.58 76.96 65.74°
Atoms (fractional coordinates):
1 Al 0.3185 0.6253 0.7378
2 Al 0.6815 0.3747 0.2622
3 Pd 0.6628 0.7269 0.9476
4 Pd 0.3372 0.2731 0.0524
5 Pd 0.0096 0.8102 0.1707
6 Pd 0.3273 0.9620 0.3835
7 Pd 0.9904 0.1898 0.8293
8 Pd 0.6727 0.0380 0.6165
9 Au 0.0000 0.5000 0.5000

Entry 7:
Compound: AlPd6Au5
Source: Alexandria
Functional: PBE
Structure: relaxed

Uncorrected energy (eV per atom): -4.541
SG: No. 12

Cell: 4.4101 6.8365 7.7084 Å, 63.68 72.86 90.00°
Atoms (fractional coordinates):
1 Au 0.6827 0.1810 0.6379
2 Au 0.3391 0.3396 0.3207
3 Au 0.0000 0.5000 0.0000
4 Au 0.6609 0.6604 0.6793
5 Au 0.3173 0.8190 0.3621
6 Al 0.0000 0.0000 0.0000
7 Pd 0.8414 0.6113 0.3142
8 Pd 0.8414 0.0745 0.3142
9 Pd 0.5000 0.7821 0.0000
10 Pd 0.5000 0.2179 0.0000
11 Pd 0.1586 0.9255 0.6858
12 Pd 0.1586 0.3887 0.6858

Entry 8:
Compound: Al4Pd5Au4
Source: Alexandria
Functional: PBE
Structure: relaxed

Uncorrected energy (eV per atom): -4.736
SG: No. 87

Cell: 4.1778 7.2977 7.2977 Å, 85.30 73.37 73.37°
Atoms (fractional coordinates):
1 Al 0.7705 0.3441 0.1149
2 Al 0.2295 0.6559 0.8851
3 Al 0.8854 0.8851 0.3441
4 Al 0.1146 0.1149 0.6559
5 Pd 0.6838 0.9106 0.7218
6 Pd 0.3162 0.0894 0.2782
7 Pd 0.0000 0.0000 0.0000
8 Pd 0.5944 0.7218 0.0894
9 Pd 0.4056 0.2782 0.9106
10 Au 0.8938 0.4908 0.7217
11 Au 0.6154 0.2783 0.4908
12 Au 0.1062 0.5092 0.2783
13 Au 0.3846 0.7217 0.5092